VASP calculation (GGA-PBE) on BaMo2Au2 after structural relaxation.

Unit cell a=3.7459 b=3.7459 c=8.6965 alpha=77.56 beta=77.56 gamma=90.00
Element x y z (fractional)
Mo1 0.7500 0.2500 0.5000
Mo2 0.2500 0.7500 0.5000
Au1 0.3791 0.3791 0.2417
Au2 0.6209 0.6209 0.7583
Ba1 0.0000 0.0000 0.0000

Values from the calculation:
- energy (eV/atom) = -5.72
- distance to the lowest polymorph of the same formula (meV/atom) = 0
- DOS at the Fermi energy (states/eV/f.u.) = 5.88
- formation enthalpy at 0 K (eV per atom) = 0.312